{"formula": "SrNd2Gd", "functional": "PBE", "state": "relaxed", "cell": [[3.755, 0.000, 0.000], [0.000, 3.755, 0.000], [0.000, 0.000, 10.742]], "species": ["Nd", "Nd", "Sr", "Gd"], "frac_coords": [[0.000, 0.000, 0.224], [0.000, 0.000, 0.776], [0.500, 0.500, 0.500], [0.500, 0.500, 0.000]], "dos_at_fermi_per_ev_cell": 6.19, "dft_energy_ev_per_atom": -6.24, "crystal_system": "tetragonal", "sg": "No. 123", "total_magnetization_mub_per_cell": 7.21, "formation_energy_mev_per_atom": 86.6}

{"formula": "CeIn2Se", "functional": "PBE", "state": "relaxed", "cell": [[3.674, 0.000, 0.000], [1.837, 3.182, 0.000], [1.837, 1.061, 10.370]], "species": ["Ce", "In", "In", "Se"], "frac_coords": [[0.000, 0.000, 0.000], [0.896, 0.896, 0.312], [0.104, 0.104, 0.688], [0.500, 0.500, 0.500]], "formation_energy_uncorrected_ev_per_atom": -0.049, "dos_at_fermi_per_ev_cell": 6.96, "dft_energy_ev_per_atom": -3.77, "crystal_system": "trigonal", "sg": "No. 166", "total_magnetization_mub_per_cell": 1.33}

{"formula": "CoSbRh2N", "functional": "PBE", "state": "relaxed", "cell": [[-4.235, 1.182, 2.052], [-2.187, -0.876, -4.011], [-0.633, -4.616, 1.354]], "species": ["Sb", "Rh", "Rh", "Co", "N"], "frac_coords": [[0.000, 0.000, 0.000], [0.500, 0.000, 0.000], [0.000, 0.000, 0.500], [0.000, 0.500, 0.000], [0.500, 0.500, 0.500]], "formation_energy_uncorrected_ev_per_atom": 2.253, "dos_at_fermi_per_ev_cell": 10.90, "dft_energy_ev_per_atom": -4.60, "crystal_system": "tetragonal", "sg": "No. 123", "total_magnetization_mub_per_cell": 2.05}

{"formula": "ErHgS2O8", "functional": "PBE", "state": "relaxed", "cell": [[5.320, -0.017, -0.327], [2.439, 4.728, -0.327], [-0.147, -0.089, 8.302]], "species": ["O", "O", "O", "O", "O", "O", "O", "O", "Er", "S", "S", "Hg"], "frac_coords": [[0.793, 0.356, 0.182], [0.213, 0.213, 0.895], [0.271, 0.271, 0.613], [0.787, 0.787, 0.105], [0.644, 0.207, 0.818], [0.356, 0.793, 0.182], [0.729, 0.729, 0.387], [0.207, 0.644, 0.818], [0.000, 0.000, 0.000], [0.331, 0.331, 0.783], [0.669, 0.669, 0.217], [0.000, 0.000, 0.500]], "formation_energy_uncorrected_ev_per_atom": -1.714, "dos_at_fermi_per_ev_cell": 2.45, "dft_energy_ev_per_atom": -6.11, "crystal_system": "monoclinic", "sg": "No. 12", "total_magnetization_mub_per_cell": 1.01}

{"formula": "PmNiHgBi", "functional": "PBE", "state": "relaxed", "cell": [[-0.780, -4.942, -1.023], [-1.193, -3.231, 3.770], [-4.708, -1.956, 0.292]], "species": ["Pm", "Bi", "Hg", "Ni"], "frac_coords": [[0.500, 0.500, 0.500], [0.000, 0.000, 0.000], [0.250, 0.250, 0.250], [0.750, 0.750, 0.750]], "dos_at_fermi_per_ev_cell": 0.98, "dft_energy_ev_per_atom": -3.88, "crystal_system": "cubic", "sg": "No. 216", "total_magnetization_mub_per_cell": 0.00, "formation_energy_mev_per_atom": -197.8}

Number 1: calculated volume 37.856 Å³ per atom. Number 2: calculated volume 30.303 Å³ per atom. Number 3: calculated volume 21.904 Å³ per atom. Number 4: calculated volume 17.403 Å³ per atom. Number 5: calculated volume 23.538 Å³ per atom.